Entry 1:
An optimized crystal structure of Cd2ReBr. Source: the Alexandria database, functional PBE-GGA.

## Properties
**Uncorrected energy**: -11.506 eV for the cell shown
**D(E_F)**: 1.7 states/eV/cell
**Formation energy without anion corrections**: 1.111 eV/atom
**Density**: 9978 kg/m3
**Size of the total moment**: 0.480 μB per atom

Cell: 4.871 4.871 4.871 Å, 60.00 60.00 60.00°
Fractional positions:
Cd: 0.000 0.000 0.000
Cd: 0.250 0.250 0.250
Re: 0.750 0.750 0.750
Br: 0.500 0.500 0.500

***

Entry 2:
An optimized crystal structure of Cd2ReBr. Source: the Alexandria database, functional PBE-GGA.

## Properties
**Uncorrected energy**: -13.551 eV for the cell shown
**D(E_F)**: 1.6 states/eV/cell
**Formation energy without anion corrections**: 0.600 eV/atom
**Density**: 9953 kg/m3
**Size of the total moment**: 0.000 μB per atom

Cell: 3.096 3.096 8.928 Å, 90.00 90.00 106.78°
Fractional positions:
Cd: 0.000 0.000 0.234
Cd: 0.000 0.000 0.766
Re: 0.500 0.500 0.000
Br: 0.500 0.500 0.500